Entry from the Alexandria database: a relaxed NbIO2 crystal (PBE).

For the raw formation energy, the calculation gives -1729 meV/atom. The energy relative to the lowest polymorph listed for this composition is 0.184 eV/atom. The calculated total energy is -7.114 eV/atom.

The structure belongs to space group Fd-3m (No. 227, origin choice 2); the cell edges are 8.793, 8.793 and 8.793 Å and the angles 90.00°, 90.00° and 90.00°. The distinct sites, in fractional coordinates, are Nb at (0.125, 0.125, 0.125), I at (0.125, 0.125, 0.625) and O at (0.000, 0.000, 0.000).